(1)
PBE-GGA KMgNb, relaxed; SG = F-43m (216); E above lowest polymorph = 3.70 eV/f.u.; ΔE_f = 1.55 eV per atom; spin magnetization = 4.1 μB per cell
1.0
0.000 3.781 3.781
3.781 0.000 3.781
3.781 3.781 0.000
K Mg Nb
1 1 1
Direct
0.000 0.000 0.000
0.250 0.250 0.250
0.500 0.500 0.500

***

(2)
PBE-GGA KMgNb, relaxed; SG = P1 (1); E above lowest polymorph = 0.33 eV/f.u.; ΔE_f = 0.42 eV per atom; spin magnetization = 0.0 μB per cell
1.0
3.141 0.000 0.000
0.393 4.709 0.000
1.453 0.005 12.944
K Mg Nb
2 2 2
Direct
0.000 0.000 0.000
0.323 0.497 0.301
0.592 0.500 0.803
0.731 0.996 0.499
0.140 0.999 0.690
0.183 0.497 0.612

***

(3)
PBE-GGA KMgNb, relaxed; SG = P6_3/mmc (194); E above lowest polymorph = 2.95 eV/f.u.; ΔE_f = 1.30 eV per atom; spin magnetization = 4.1 μB per cell
1.0
5.594 0.000 0.000
-2.797 4.845 0.000
0.000 0.000 6.074
K Mg Nb
2 2 2
Direct
0.000 0.000 0.000
0.000 0.000 0.500
0.333 0.667 0.250
0.667 0.333 0.750
0.333 0.667 0.750
0.667 0.333 0.250